No. 1
{"formula": "La8Y2Tm3", "functional": "PBE", "state": "relaxed", "e_above_lowest_polymorph_mev_per_atom": 34, "magmom_total_mub_per_fu": 0.00, "e_form_kj_per_mol_atoms": 17.1, "cell": [[5.755, 0.000, 0.731], [0.000, 7.744, 0.000], [-1.306, -3.872, 10.222]], "species": ["La", "La", "La", "La", "La", "La", "La", "La", "Tm", "Tm", "Tm", "Y", "Y"], "fractional_positions": [[0.999, 0.128, 0.257], [0.999, 0.326, 0.652], [0.001, 0.674, 0.348], [0.500, 0.803, 0.208], [0.500, 0.405, 0.208], [0.500, 0.197, 0.792], [0.001, 0.872, 0.743], [0.500, 0.595, 0.792], [0.000, 0.284, 0.000], [0.000, 0.716, 0.000], [0.500, 0.000, 0.000], [0.502, 0.761, 0.522], [0.498, 0.239, 0.478]]}


No. 2
{"formula": "BaNdH2", "functional": "PBE", "state": "relaxed", "magmom_total_mub_per_fu": 0.78, "e_tot_ev_per_atom": -3.599, "cell": [[3.973, 0.000, 0.000], [1.986, 3.441, 0.000], [1.986, 1.147, 6.733]], "species": ["Nd", "H", "H", "Ba"], "fractional_positions": [[0.655, 0.655, 0.035], [0.330, 0.330, 0.010], [0.044, 0.044, 0.867], [0.471, 0.471, 0.587]]}


No. 3
{"formula": "ZrAg3Pt", "functional": "PBE", "state": "relaxed", "e_above_lowest_polymorph_mev_per_atom": 731, "magmom_total_mub_per_fu": 1.34, "e_form_kj_per_mol_atoms": 157.3, "cell": [[-4.738, -0.630, -1.878], [-0.814, -3.818, 3.336], [-1.806, 3.375, 3.423]], "species": ["Ag", "Ag", "Ag", "Zr", "Pt"], "fractional_positions": [[0.000, 0.500, 0.000], [0.000, 0.000, 0.500], [0.500, 0.000, 0.000], [0.000, 0.000, 0.000], [0.500, 0.500, 0.500]]}


No. 4
{"formula": "CrCdOs2", "functional": "PBE", "state": "relaxed", "magmom_total_mub_per_fu": 0.00, "e_form_kj_per_mol_atoms": 60.4, "cell": [[2.703, 0.005, 0.000], [-1.221, 2.411, 0.000], [0.000, 0.000, 9.363]], "species": ["Cd", "Os", "Os", "Cr"], "fractional_positions": [[0.000, 0.000, 0.508], [0.000, 0.000, 0.988], [0.500, 0.500, 0.236], [0.500, 0.500, 0.769]]}